Compound: ReHW3
Source: the Alexandria database
Functional: PBE
Structure: relaxed

Cell and atoms, written as POSCAR:
```
ReHW3
1.0
-1.712 -2.073 3.945
-3.289 -2.264 -2.617
3.007 -3.656 -0.617
Re W H
1 3 1
Cartesian
0.000 0.000 0.000
-1.645 -1.132 -1.308
1.504 -1.828 -0.308
-0.856 -1.037 1.973
-0.997 -3.997 0.356
```

Calculated values
ΔE to the lowest computed polymorph, eV per atom: 2.455
E, eV/atom: -8.1984
Total moment, μB/f.u.: 0.000